1.
This record from the Alexandria database describes a relaxed structure of Ba2ZrMoAu. The functional is GGA-PBE.

Unit cell a=6.4824 b=6.4824 c=4.7071 alpha=90.00 beta=90.00 gamma=90.00
With the nearest neighbours (Å) after each atom.
Atoms (fractional coordinates):
Ba  0.0000  0.5000  0.0000  2 Zr 3.24
Ba  0.5000  0.0000  0.0000  2 Zr 3.24
Zr  0.0000  0.0000  0.0000  2 Mo 2.35
Mo  0.0000  0.0000  0.5000  2 Zr 2.35
Au  0.5000  0.5000  0.5000  8 Ba 4.01

Summary:
**Formation energy**: 4.54 eV/f.u.
**Crystal system**: tetragonal
**E**: -21.96 eV per cell



2.
This record from the Alexandria database describes a relaxed structure of OsAuSe2. The functional is GGA-PBE.

Unit cell a=3.6343 b=7.3543 c=7.3543 alpha=26.57 beta=90.00 gamma=90.00
With the nearest neighbours (Å) after each atom.
Atoms (fractional coordinates):
Os  0.0000  0.0000  0.0000  3 Se 2.40-2.48
Au  0.5000  0.4039  0.4039  4 Se 2.71, 4 Os 2.84
Se  0.0000  0.8270  0.8270  1 Os 2.48, 4 Au 2.71
Se  0.5000  0.1098  0.1098  2 Os 2.40

Summary:
**Relative energy among the computed polymorphs**: 1.08 eV/f.u.
**Crystal system**: orthorhombic
**E**: -20.03 eV per cell
**E_form (uncorrected)**: 0.36 eV per atom



3.
This record from the Alexandria database describes a relaxed structure of KIn3Au. The functional is GGA-PBE.

Unit cell a=7.2436 b=7.2436 c=6.3928 alpha=90.00 beta=90.00 gamma=120.00
With the nearest neighbours (Å) after each atom.
Atoms (fractional coordinates):
K  0.3333  0.6667  0.2500  12 In 3.63-3.68
K  0.6667  0.3333  0.7500  12 In 3.63-3.68
In  0.1878  0.3755  0.7500  2 Au 2.85, 2 In 3.16
In  0.1878  0.8122  0.7500  2 Au 2.85, 2 In 3.16
In  0.3755  0.1878  0.2500  2 Au 2.85, 2 In 3.16
In  0.6245  0.8122  0.7500  2 Au 2.85, 2 In 3.16
In  0.8122  0.1878  0.2500  2 Au 2.85, 2 In 3.16
In  0.8122  0.6245  0.2500  2 Au 2.85, 2 In 3.16
Au  0.0000  0.0000  0.0000  6 In 2.85
Au  0.0000  0.0000  0.5000  6 In 2.85

Summary:
**Formation energy**: -0.56 eV/f.u.
**Relative energy among the computed polymorphs**: 0.53 eV/f.u.
**Crystal system**: hexagonal
**E**: -26.31 eV per cell



4.
This record from the Alexandria database describes a relaxed structure of MnZnAs2. The functional is GGA-PBE.

Unit cell a=3.5665 b=3.5665 c=6.7171 alpha=105.57 beta=105.57 gamma=60.12
With the nearest neighbours (Å) after each atom.
Atoms (fractional coordinates):
Mn  0.0000  0.0000  0.0000  6 As 2.52
Zn  0.5000  0.5000  0.5000  6 As 2.69-2.70
As  0.2563  0.2563  0.7723  3 Mn 2.52, 3 Zn 2.69-2.70
As  0.7437  0.7437  0.2277  3 Mn 2.52, 3 Zn 2.69-2.70

Summary:
**Formation energy**: -0.08 eV/f.u.
**Crystal system**: monoclinic
**E**: -19.83 eV per cell



5.
This record from the Alexandria database describes a relaxed structure of NaTl2InH. The functional is GGA-PBE.

Unit cell a=5.0191 b=5.0191 c=4.7928 alpha=90.00 beta=90.00 gamma=90.00
With the nearest neighbours (Å) after each atom.
Atoms (fractional coordinates):
Na  0.0000  0.0000  0.0000  8 Tl 3.47, 4 In 3.55
Tl  0.0000  0.5000  0.5000  2 H 2.51
Tl  0.5000  0.0000  0.5000  2 H 2.51
In  0.5000  0.5000  0.0000  2 H 2.40
H  0.5000  0.5000  0.5000  2 In 2.40, 4 Tl 2.51

Summary:
**Relative energy among the computed polymorphs**: 0.54 eV/f.u.
**Crystal system**: tetragonal
**E**: -11.35 eV per cell



6.
This record from the Alexandria database describes a relaxed structure of Na3MgTl6. The functional is GGA-PBE.

Unit cell a=9.1131 b=12.2527 c=5.2562 alpha=90.00 beta=90.00 gamma=90.00
With the nearest neighbours (Å) after each atom.
Atoms (fractional coordinates):
Na  0.0000  0.0000  0.0000  2 Tl 3.08
Na  0.1626  0.1720  0.5000  6 Tl 3.14-3.37
Na  0.3374  0.6720  0.0000  6 Tl 3.14-3.37
Na  0.5000  0.5000  0.5000  2 Tl 3.08
Na  0.6626  0.3280  0.0000  6 Tl 3.14-3.37
Na  0.8374  0.8280  0.5000  6 Tl 3.14-3.37
Mg  0.0000  0.5000  0.0000  8 Tl 3.05-3.16
Mg  0.5000  0.0000  0.5000  8 Tl 3.05-3.16
Tl  0.0087  0.7488  0.0000  1 Mg 3.05, 4 Na 3.08-3.21, 3 Tl 3.28-3.35
Tl  0.1245  0.6031  0.5000  2 Mg 3.13, 4 Tl 3.35-3.44, 2 Na 3.37
Tl  0.1933  0.8795  0.5000  1 Mg 3.16, 4 Tl 3.28-3.51, 3 Na 3.30-3.49
Tl  0.3067  0.3795  0.0000  1 Mg 3.16, 4 Tl 3.28-3.51, 3 Na 3.30-3.49
Tl  0.3755  0.1031  0.0000  2 Mg 3.13, 4 Tl 3.35-3.44, 2 Na 3.37
Tl  0.4913  0.2488  0.5000  1 Mg 3.05, 4 Na 3.08-3.21, 3 Tl 3.28-3.35
Tl  0.5087  0.7512  0.5000  1 Mg 3.05, 4 Na 3.08-3.21, 3 Tl 3.28-3.35
Tl  0.6245  0.8969  0.0000  2 Mg 3.13, 4 Tl 3.35-3.44, 2 Na 3.37
Tl  0.6933  0.6205  0.0000  1 Mg 3.16, 4 Tl 3.28-3.51, 3 Na 3.30-3.49
Tl  0.8067  0.1205  0.5000  1 Mg 3.16, 4 Tl 3.28-3.51, 3 Na 3.30-3.49
Tl  0.8755  0.3969  0.5000  2 Mg 3.13, 4 Tl 3.35-3.44, 2 Na 3.37
Tl  0.9913  0.2512  0.0000  1 Mg 3.05, 4 Na 3.08-3.21, 3 Tl 3.28-3.35

Summary:
**Formation energy**: -0.46 eV/f.u.
**Relative energy among the computed polymorphs**: 0.00 eV/f.u.
**Crystal system**: orthorhombic
**E**: -40.42 eV per cell



7.
This record from the Alexandria database describes a relaxed structure of Ce7PuAu4. The functional is GGA-PBE.

Unit cell a=5.8296 b=6.2261 c=8.6122 alpha=109.22 beta=96.51 gamma=91.41
With the nearest neighbours (Å) after each atom.
Atoms (fractional coordinates):
Ce  0.0000  0.0000  0.0000  4 Au 3.00-3.11, 2 Pu 3.11
Ce  0.1836  0.1760  0.6521  6 Au 3.09-3.41, 2 Ce 3.10-3.31, 1 Pu 3.32
Ce  0.3621  0.5526  0.3434  2 Ce 2.78-3.10, 3 Au 3.09-3.11
Ce  0.4950  0.6960  0.9575  2 Ce 2.77-2.78
Ce  0.5050  0.3040  0.0425  2 Ce 2.77-2.78
Ce  0.6379  0.4474  0.6566  2 Ce 2.78-3.10, 3 Au 3.09-3.11
Ce  0.8164  0.8240  0.3479  6 Au 3.09-3.41, 2 Ce 3.10-3.31, 1 Pu 3.32
Pu  0.0000  0.5000  0.0000  10 Ce 3.11-3.35
Au  0.1137  0.6794  0.6592  2 Au 3.04-3.20, 7 Ce 3.09-3.41
Au  0.3318  0.0267  0.3002  7 Ce 3.00-3.35, 1 Au 3.20
Au  0.6682  0.9733  0.6998  7 Ce 3.00-3.35, 1 Au 3.20
Au  0.8863  0.3206  0.3408  2 Au 3.04-3.20, 7 Ce 3.09-3.41

Summary:
**Formation energy**: -4.30 eV/f.u.
**Crystal system**: triclinic
**E**: -73.28 eV per cell



8.
This record from the Alexandria database describes a relaxed structure of HgTeIr2. The functional is GGA-PBE.

Unit cell a=4.8391 b=4.8391 c=3.1537 alpha=90.00 beta=90.00 gamma=99.37
With the nearest neighbours (Å) after each atom.
Atoms (fractional coordinates):
Hg  0.0000  0.0000  0.0000  8 Ir 2.89, 2 Te 3.13, 2 Hg 3.15
Te  0.5000  0.5000  0.0000  8 Ir 2.89, 2 Hg 3.13, 2 Te 3.15
Ir  0.0000  0.5000  0.5000  4 Hg 2.89, 4 Te 2.89, 4 Ir 3.13-3.15
Ir  0.5000  0.0000  0.5000  4 Hg 2.89, 4 Te 2.89, 4 Ir 3.13-3.15

Summary:
**Relative energy among the computed polymorphs**: 0.68 eV/f.u.
**Crystal system**: orthorhombic
**E**: -18.86 eV per cell
**E_form (uncorrected)**: 0.58 eV per atom



9.
This record from the Alexandria database describes a relaxed structure of La5PmNdDy2. The functional is GGA-PBE.

Unit cell a=10.2210 b=10.2210 c=10.2210 alpha=128.10 beta=128.10 gamma=76.46
With the nearest neighbours (Å) after each atom.
Atoms (fractional coordinates):
La  0.0000  0.0000  0.0000  4 Dy 3.57, 8 La 3.92
La  0.0579  0.5579  0.8915  1 Nd 3.06, 1 Dy 3.23
La  0.1664  0.0579  0.5000  1 Nd 3.06, 1 Dy 3.23
La  0.3336  0.8336  0.8915  1 Nd 3.06, 1 Dy 3.23
La  0.4421  0.3336  0.5000  1 Nd 3.06, 1 Dy 3.23
La  0.5000  0.5000  0.0000  4 Dy 3.57, 8 La 3.92
La  0.5579  0.6664  0.5000  1 Nd 3.06, 1 Dy 3.23
La  0.6664  0.1664  0.1085  1 Nd 3.06, 1 Dy 3.23
La  0.8336  0.9421  0.5000  1 Nd 3.06, 1 Dy 3.23
La  0.9421  0.4421  0.1085  1 Nd 3.06, 1 Dy 3.23
Pm  0.2500  0.2500  0.0000  10 La 3.70-4.01
Pm  0.7500  0.7500  0.0000  10 La 3.70-4.01
Nd  0.2500  0.7500  0.5000  4 La 3.06
Nd  0.7500  0.2500  0.5000  4 La 3.06
Dy  0.1184  0.3816  0.5000  1 Dy 2.99, 2 La 3.23
Dy  0.3816  0.8816  0.2633  1 Dy 2.99, 2 La 3.23
Dy  0.6184  0.1184  0.7367  1 Dy 2.99, 2 La 3.23
Dy  0.8816  0.6184  0.5000  1 Dy 2.99, 2 La 3.23

Summary:
**Formation energy**: 2.35 eV/f.u.
**Crystal system**: tetragonal
**E**: -82.02 eV per cell



10.
This record from the Alexandria database describes a relaxed structure of VPbS2N. The functional is GGA-PBE.

Unit cell a=5.1087 b=5.1087 c=4.2476 alpha=90.00 beta=90.00 gamma=90.00
With the nearest neighbours (Å) after each atom.
Atoms (fractional coordinates):
V  0.0000  0.0000  0.0000  8 S 3.32, 4 N 3.61
Pb  0.5000  0.5000  0.5000  2 N 2.12
S  0.0000  0.5000  0.5000  2 Pb 2.55
S  0.5000  0.0000  0.5000  2 Pb 2.55
N  0.5000  0.5000  0.0000  2 Pb 2.12

Summary:
**Crystal system**: tetragonal
**E**: -23.18 eV per cell
**E_form (uncorrected)**: 1.24 eV per atom



11.
This record from the Alexandria database describes a relaxed structure of Ga2AgH2. The functional is GGA-PBE.

Unit cell a=6.6161 b=6.6161 c=6.6161 alpha=152.18 beta=152.18 gamma=39.75
With the nearest neighbours (Å) after each atom.
Atoms (fractional coordinates):
Ga  0.1484  0.1484  0.0000  4 H 2.03
Ga  0.8516  0.8516  0.0000  4 H 2.03
Ag  0.5000  0.5000  0.0000  8 Ga 2.91, 4 Ag 3.18
H  0.2500  0.7500  0.5000  4 Ga 2.03, 4 H 2.25
H  0.7500  0.2500  0.5000  4 Ga 2.03, 4 H 2.25

Summary:
**Relative energy among the computed polymorphs**: 0.00 eV/f.u.
**Crystal system**: tetragonal
**E**: -14.18 eV per cell



12.
This record from the Alexandria database describes a relaxed structure of PrScCuAu. The functional is GGA-PBE.

Unit cell a=5.0044 b=5.0044 c=5.0044 alpha=60.00 beta=60.00 gamma=60.00
With the nearest neighbours (Å) after each atom.
Atoms (fractional coordinates):
Pr  0.0000  0.0000  0.0000  4 Cu 3.06, 4 Au 3.06
Sc  0.5000  0.5000  0.5000  4 Cu 3.06, 4 Au 3.06
Cu  0.2500  0.2500  0.2500  4 Pr 3.06, 4 Sc 3.06
Au  0.7500  0.7500  0.7500  4 Pr 3.06, 4 Sc 3.06

Summary:
**Formation energy**: -1.65 eV/f.u.
**Crystal system**: cubic
**E**: -20.14 eV per cell